ReRuI2 | SCAN | single point on PBEsol structure Values from VASP.

Properties
The calculation puts the formation energy (no corrections) at 153.4 kJ/mol of atoms. The density of states at the Fermi level comes out at 3.9 states/eV/cell.

Quantum ESPRESSO input file:
```
&SYSTEM
  ibrav = 0, nat = 4, ntyp = 3
/
ATOMIC_SPECIES
Re 186.21 Re.upf
I 126.90 I.upf
Ru 101.07 Ru.upf
CELL_PARAMETERS angstrom
-2.333 -1.383 -3.839
-3.744 -2.812 0.411
-4.305 1.677 -0.865
ATOMIC_POSITIONS crystal
Re 0.500 0.500 0.500
I 0.750 0.750 0.750
I 0.250 0.250 0.250
Ru 0.000 0.000 0.000
```

=====

Be2AgAs | SCAN | single point on PBEsol structure Values from VASP.

Properties
The calculated formation energy comes out at 0.249 eV/atom. The density of states at the Fermi level comes out at 1.0 states/eV/cell.

Quantum ESPRESSO input file:
```
&SYSTEM
  ibrav = 0, nat = 4, ntyp = 3
/
ATOMIC_SPECIES
Be 9.01 Be.upf
Ag 107.87 Ag.upf
As 74.92 As.upf
CELL_PARAMETERS angstrom
-0.180 2.626 -0.945
-1.689 0.885 2.781
4.934 1.271 2.593
ATOMIC_POSITIONS crystal
Be 0.500 0.500 0.224
Be 0.000 0.000 0.022
Ag 0.000 0.000 0.434
As 0.500 0.500 0.820
```

=====

Dy2CuO4 | SCAN | single point on PBEsol structure Values from VASP.

Properties
The calculation puts the formation energy (no corrections) at -290.7 kJ/mol of atoms. The density of states at the Fermi level comes out at 1.7 states/eV/cell.

Quantum ESPRESSO input file:
```
&SYSTEM
  ibrav = 0, nat = 14, ntyp = 3
/
ATOMIC_SPECIES
O 16.00 O.upf
Dy 162.50 Dy.upf
Cu 63.55 Cu.upf
CELL_PARAMETERS angstrom
-1.984 0.680 -4.982
-4.596 -2.434 1.498
0.083 6.375 0.837
ATOMIC_POSITIONS crystal
O 0.250 0.508 0.500
O 0.790 0.290 0.000
O 0.290 0.210 0.000
Dy 0.500 0.847 0.694
Cu 0.500 0.500 0.000
Dy 0.500 0.153 0.306
O 0.710 0.790 0.000
O 0.750 0.992 0.500
O 0.210 0.710 0.000
Dy 0.000 0.653 0.306
O 0.250 0.008 0.500
O 0.750 0.492 0.500
Cu 0.000 0.000 0.000
Dy 0.000 0.347 0.694
```

=====

CoPHO5 | SCAN | single point on PBEsol structure Values from VASP.

Properties
The energy is -9.43 eV/atom. The density of states at the Fermi level comes out at 3.8 states/eV/cell.

Quantum ESPRESSO input file:
```
&SYSTEM
  ibrav = 0, nat = 16, ntyp = 4
/
ATOMIC_SPECIES
O 16.00 O.upf
H 1.01 H.upf
Co 58.93 Co.upf
P 30.97 P.upf
CELL_PARAMETERS angstrom
-4.582 -1.805 0.920
2.607 -1.406 4.096
-0.567 6.895 0.083
ATOMIC_POSITIONS crystal
O 0.657 0.785 0.410
H 0.985 0.364 0.308
Co 0.500 0.500 0.500
O 0.848 0.663 0.744
O 0.307 0.169 0.931
P 0.558 0.921 0.244
H 0.015 0.636 0.692
O 0.781 0.190 0.864
O 0.691 0.267 0.363
O 0.219 0.810 0.136
O 0.152 0.337 0.256
O 0.309 0.733 0.637
P 0.442 0.079 0.756
O 0.343 0.215 0.590
Co 0.000 0.000 0.000
O 0.693 0.831 0.069
```

=====

Al2SeCl | SCAN | single point on PBEsol structure Values from VASP.

Properties
The calculation puts the formation energy (no corrections) at -17.0 kJ/mol of atoms. The density of states at the Fermi level comes out at 3.4 states/eV/cell. The calculation puts the offset from the most stable computed form at 262 meV per atom.

Quantum ESPRESSO input file:
```
&SYSTEM
  ibrav = 0, nat = 8, ntyp = 3
/
ATOMIC_SPECIES
Al 26.98 Al.upf
Cl 35.45 Cl.upf
Se 78.96 Se.upf
CELL_PARAMETERS angstrom
-1.998 1.447 -5.502
-0.175 -5.919 1.137
-3.587 2.725 4.008
ATOMIC_POSITIONS crystal
Al 0.625 0.113 0.988
Al 0.363 0.375 0.488
Cl 0.500 0.500 0.000
Al 0.125 0.637 0.012
Al 0.887 0.875 0.512
Cl 0.750 0.250 0.500
Se 0.250 0.750 0.500
Se 0.000 0.000 0.000
```

=====

CdIrPt2 | SCAN | single point on PBEsol structure Values from VASP.

Properties
The calculated formation energy comes out at 0.022 eV/atom. The density of states at the Fermi level comes out at 2.7 states/eV/cell.

Quantum ESPRESSO input file:
```
&SYSTEM
  ibrav = 0, nat = 4, ntyp = 3
/
ATOMIC_SPECIES
Pt 195.08 Pt.upf
Ir 192.22 Ir.upf
Cd 112.41 Cd.upf
CELL_PARAMETERS angstrom
3.931 0.000 0.000
0.000 3.931 0.000
0.000 0.000 4.010
ATOMIC_POSITIONS crystal
Pt 0.000 0.500 0.000
Pt 0.500 0.000 0.000
Ir 0.000 0.000 0.500
Cd 0.500 0.500 0.500
```

=====

Cl | SCAN | single point on PBEsol structure Values from VASP.

Properties
The calculation puts the formation energy (no corrections) at 21.5 kJ/mol of atoms. The density of states at the Fermi level comes out at 0.8 states/eV/cell. The calculation puts the offset from the most stable computed form at 223 meV per atom.

Quantum ESPRESSO input file:
```
&SYSTEM
  ibrav = 0, nat = 1, ntyp = 1
/
ATOMIC_SPECIES
Cl 35.45 Cl.upf
CELL_PARAMETERS angstrom
2.250 0.000 0.000
0.000 3.395 0.000
-1.125 -1.697 3.389
ATOMIC_POSITIONS crystal
Cl 0.000 0.500 0.000
```

=====

AgPSe2 | SCAN | single point on PBEsol structure Values from VASP.

Properties
The calculation puts the formation energy (no corrections) at 4.6 kJ/mol of atoms. The density of states at the Fermi level comes out at 0.5 states/eV/cell.

Quantum ESPRESSO input file:
```
&SYSTEM
  ibrav = 0, nat = 4, ntyp = 3
/
ATOMIC_SPECIES
Se 78.96 Se.upf
Ag 107.87 Ag.upf
P 30.97 P.upf
CELL_PARAMETERS angstrom
3.618 0.000 0.000
0.000 3.845 0.104
-1.809 -0.338 5.915
ATOMIC_POSITIONS crystal
Se 0.033 0.140 0.066
Se 0.766 0.566 0.531
Ag 0.478 0.641 0.956
P 0.223 0.153 0.447
```

=====

Repeat the fourth record exactly.
CoPHO5 | SCAN | single point on PBEsol structure Values from VASP.

Properties
The energy is -9.43 eV/atom. The density of states at the Fermi level comes out at 3.8 states/eV/cell.

Quantum ESPRESSO input file:
```
&SYSTEM
  ibrav = 0, nat = 16, ntyp = 4
/
ATOMIC_SPECIES
O 16.00 O.upf
H 1.01 H.upf
Co 58.93 Co.upf
P 30.97 P.upf
CELL_PARAMETERS angstrom
-4.582 -1.805 0.920
2.607 -1.406 4.096
-0.567 6.895 0.083
ATOMIC_POSITIONS crystal
O 0.657 0.785 0.410
H 0.985 0.364 0.308
Co 0.500 0.500 0.500
O 0.848 0.663 0.744
O 0.307 0.169 0.931
P 0.558 0.921 0.244
H 0.015 0.636 0.692
O 0.781 0.190 0.864
O 0.691 0.267 0.363
O 0.219 0.810 0.136
O 0.152 0.337 0.256
O 0.309 0.733 0.637
P 0.442 0.079 0.756
O 0.343 0.215 0.590
Co 0.000 0.000 0.000
O 0.693 0.831 0.069
```